Entry 1:
VASP calculation (PBE-GGA) on a relaxed NdScNiOs crystal.

Calculated values
**Formation enthalpy at 0 K**: -0.1982 eV per atom
**E**: -0.26554 Ha/atom

Unit cell a=4.754 b=4.754 c=4.754 alpha=60.00 beta=60.00 gamma=60.00
Positions (direct):
Nd  0.000  0.000  0.000
Sc  0.500  0.500  0.500
Ni  0.250  0.250  0.250
Os  0.750  0.750  0.750

Entry 2:
VASP calculation (PBE-GGA) on a relaxed NdSi2NiOs crystal.

Calculated values
**Energy relative to the elements, uncorrected**: -70.92 kJ/mol of atoms
**E**: -0.26680 Ha/atom

Unit cell a=4.036 b=4.036 c=5.862 alpha=110.14 beta=110.14 gamma=90.00
Positions (direct):
Os  0.250  0.750  0.500
Nd  0.000  0.000  0.000
Ni  0.750  0.250  0.500
Si  0.373  0.373  0.746
Si  0.627  0.627  0.254

Entry 3:
VASP calculation (PBE-GGA) on a relaxed NdSi4Ni2Os crystal.

Calculated values
**Energy relative to the elements, uncorrected**: -42.44 kJ/mol of atoms
**E**: -0.24241 Ha/atom

Unit cell a=3.986 b=3.986 c=9.105 alpha=77.35 beta=77.35 gamma=60.00
Positions (direct):
Ni  0.769  0.769  0.693
Ni  0.231  0.231  0.307
Si  0.126  0.126  0.623
Si  0.405  0.405  0.785
Si  0.874  0.874  0.377
Si  0.595  0.595  0.215
Nd  0.000  0.000  0.000
Os  0.500  0.500  0.500

Entry 4:
VASP calculation (PBE-GGA) on a relaxed TbNdNiOs crystal.

Calculated values
**Formation enthalpy at 0 K**: -0.1524 eV per atom
**E**: -0.24823 Ha/atom

Unit cell a=4.898 b=4.898 c=4.898 alpha=60.00 beta=60.00 gamma=60.00
Positions (direct):
Os  0.250  0.250  0.250
Nd  0.500  0.500  0.500
Tb  0.000  0.000  0.000
Ni  0.750  0.750  0.750

Entry 5:
VASP calculation (PBE-GGA) on a relaxed NdThNiOs crystal.

Calculated values
**Formation enthalpy at 0 K**: -0.1770 eV per atom
**E**: -0.27476 Ha/atom

Unit cell a=4.985 b=4.985 c=4.985 alpha=60.00 beta=60.00 gamma=60.00
Positions (direct):
Os  0.750  0.750  0.750
Nd  0.500  0.500  0.500
Ni  0.250  0.250  0.250
Th  0.000  0.000  0.000

Entry 6:
VASP calculation (PBE-GGA) on a relaxed NdTmNiOs crystal.

Calculated values
**Formation enthalpy at 0 K**: -0.1962 eV per atom
**E**: -0.24838 Ha/atom

Unit cell a=4.855 b=4.855 c=4.855 alpha=60.00 beta=60.00 gamma=60.00
Positions (direct):
Ni  0.750  0.750  0.750
Os  0.250  0.250  0.250
Nd  0.500  0.500  0.500
Tm  0.000  0.000  0.000

Entry 7:
VASP calculation (PBE-GGA) on a relaxed NdNiP2 crystal.

Calculated values
**Formation enthalpy at 0 K**: -0.1923 eV per atom
**E**: -0.20339 Ha/atom

Unit cell a=3.657 b=3.657 c=7.676 alpha=76.22 beta=76.22 gamma=60.00
Positions (direct):
P  0.871  0.871  0.387
P  0.129  0.129  0.613
Ni  0.500  0.500  0.500
Nd  0.000  0.000  0.000

Entry 8:
VASP calculation (PBE-GGA) on a relaxed NdNi3P2 crystal.

Calculated values
**Formation enthalpy at 0 K**: -0.8823 eV per atom
**E**: -0.23412 Ha/atom
**Energy above the lowest structure with this stoichiometry**: 0 meV per atom

Unit cell a=3.787 b=7.848 c=9.250 alpha=106.26 beta=90.00 gamma=103.96
Positions (direct):
P  0.360  0.720  0.548
P  0.201  0.401  0.129
P  0.640  0.280  0.452
P  0.799  0.599  0.871
P  0.528  0.055  0.776
P  0.472  0.945  0.224
Nd  0.154  0.307  0.702
Nd  0.000  0.000  0.000
Nd  0.846  0.693  0.298
Ni  0.049  0.098  0.343
Ni  0.951  0.902  0.657
Ni  0.675  0.350  0.970
Ni  0.632  0.265  0.211
Ni  0.325  0.650  0.030
Ni  0.781  0.562  0.605
Ni  0.500  0.000  0.500
Ni  0.219  0.438  0.395
Ni  0.368  0.735  0.789

Entry 9:
VASP calculation (PBE-GGA) on a relaxed Nd3Ni6P5 crystal.

Calculated values
**Formation enthalpy at 0 K**: -0.9460 eV per atom
**E**: -0.23437 Ha/atom

Unit cell a=3.847 b=9.604 c=11.742 alpha=90.00 beta=90.00 gamma=90.00
Positions (direct):
P  0.000  0.509  0.867
P  0.500  0.141  0.829
P  0.000  0.859  0.671
P  0.500  0.110  0.500
P  0.000  0.890  0.000
P  0.000  0.509  0.133
P  0.500  0.141  0.171
P  0.500  0.491  0.633
P  0.000  0.859  0.329
P  0.500  0.491  0.367
Ni  0.000  0.008  0.172
Ni  0.500  0.390  0.814
Ni  0.000  0.987  0.500
Ni  0.000  0.610  0.686
Ni  0.500  0.013  0.000
Ni  0.500  0.505  0.000
Ni  0.000  0.008  0.828
Ni  0.000  0.495  0.500
Ni  0.500  0.390  0.186
Ni  0.500  0.992  0.672
Ni  0.500  0.992  0.328
Ni  0.000  0.610  0.314
Nd  0.000  0.251  0.000
Nd  0.500  0.747  0.841
Nd  0.000  0.253  0.341
Nd  0.000  0.253  0.659
Nd  0.500  0.749  0.500
Nd  0.500  0.747  0.159

Entry 10:
VASP calculation (PBE-GGA) on a relaxed NdNi3P2 crystal.

Calculated values
**Formation enthalpy at 0 K**: -0.8542 eV per atom
**E**: -0.23309 Ha/atom
**Energy above the lowest structure with this stoichiometry**: 28 meV per atom

Unit cell a=3.793 b=7.429 c=6.942 alpha=113.62 beta=90.00 gamma=104.79
Positions (direct):
Ni  0.316  0.633  0.561
Ni  0.405  0.811  0.323
Ni  0.595  0.189  0.677
Ni  0.042  0.083  0.368
Ni  0.958  0.917  0.632
Ni  0.684  0.367  0.439
P  0.520  0.040  0.183
P  0.186  0.372  0.665
P  0.814  0.628  0.335
P  0.480  0.960  0.817
Nd  0.846  0.692  0.931
Nd  0.154  0.308  0.069

Entry 11:
VASP calculation (PBE-GGA) on a relaxed NdNi3P3 crystal.

Calculated values
**Formation enthalpy at 0 K**: -0.6586 eV per atom
**E**: -0.22549 Ha/atom
**Energy above the lowest structure with this stoichiometry**: 46 meV per atom

Unit cell a=6.141 b=6.141 c=6.141 alpha=90.00 beta=90.00 gamma=90.00
Positions (direct):
P  0.750  0.500  0.000
P  0.500  0.000  0.250
P  0.250  0.500  0.000
P  0.000  0.750  0.500
P  0.000  0.250  0.500
P  0.500  0.000  0.750
Ni  0.750  0.000  0.500
Ni  0.500  0.250  0.000
Ni  0.000  0.500  0.750
Ni  0.250  0.000  0.500
Ni  0.500  0.750  0.000
Ni  0.000  0.500  0.250
Nd  0.000  0.000  0.000
Nd  0.500  0.500  0.500

Entry 12:
VASP calculation (PBE-GGA) on a relaxed Nd6Ni20P13 crystal.

Calculated values
**Formation enthalpy at 0 K**: -0.8719 eV per atom
**E**: -0.23422 Ha/atom

Unit cell a=12.795 b=12.795 c=3.844 alpha=90.00 beta=90.00 gamma=120.00
Positions (direct):
P  0.102  0.708  0.500
P  0.606  0.898  0.500
P  0.292  0.394  0.500
P  0.946  0.147  0.500
P  0.200  0.054  0.500
P  0.814  0.533  0.000
P  0.719  0.186  0.000
P  0.055  0.430  0.000
P  0.467  0.281  0.000
P  0.570  0.624  0.000
P  0.853  0.800  0.500
P  0.376  0.945  0.000
P  0.333  0.667  0.000
Nd  0.801  0.949  0.000
Nd  0.051  0.852  0.000
Nd  0.148  0.199  0.000
Nd  0.519  0.134  0.500
Nd  0.866  0.385  0.500
Nd  0.615  0.481  0.500
Ni  0.016  0.588  0.000
Ni  0.899  0.642  0.500
Ni  0.572  0.984  0.000
Ni  0.527  0.771  0.000
Ni  0.645  0.736  0.500
Ni  0.918  0.228  0.000
Ni  0.402  0.812  0.500
Ni  0.188  0.591  0.500
Ni  0.772  0.690  0.000
Ni  0.245  0.473  0.000
Ni  0.358  0.257  0.500
Ni  0.667  0.333  0.000
Ni  0.264  0.909  0.500
Ni  0.000  0.000  0.500
Ni  0.409  0.598  0.500
Ni  0.412  0.428  0.000
Ni  0.310  0.082  0.000
Ni  0.743  0.101  0.500
Ni  0.091  0.355  0.500
Ni  0.229  0.755  0.000